[1]
{
  "formula": "CaLa2Tb3Pr6",
  "functional": "PBE",
  "state": "optimized geometry",
  "lattice_angstrom": [[3.2021, -5.5498, 0.0000], [3.2021, 5.5498, 0.0000], [-2.1347, 0.0000, 11.9894]],
  "species": ["Ca", "La", "La", "Tb", "Tb", "Tb", "Pr", "Pr", "Pr", "Pr", "Pr", "Pr"],
  "frac_coords": [[0.0000, 0.0000, 0.0000], [0.3328, 0.6672, 0.0000], [0.6672, 0.3328, 0.0000], [0.1659, 0.8341, 0.5000], [0.5000, 0.5000, 0.5000], [0.8341, 0.1659, 0.5000], [0.0864, 0.4238, 0.2572], [0.2509, 0.2509, 0.7421], [0.4238, 0.0864, 0.2572], [0.5762, 0.9136, 0.7428], [0.7491, 0.7491, 0.2579], [0.9136, 0.5762, 0.7428]],
  "magnetic_moment_mub_per_fu": 0.00,
  "formation_enthalpy_0k_ev_per_atom": 0.03,
  "energy_ev_per_atom": -4.51
}

[2]
{
  "formula": "CaLa2Pr3Te6",
  "functional": "PBE",
  "state": "optimized geometry",
  "lattice_angstrom": [[9.9084, -2.2613, 0.0000], [9.9084, 2.2613, 0.0000], [-2.1080, 0.0000, 8.8904]],
  "species": ["Ca", "La", "La", "Pr", "Pr", "Pr", "Te", "Te", "Te", "Te", "Te", "Te"],
  "frac_coords": [[0.0000, 0.0000, 0.0000], [0.3315, 0.3315, 0.6640], [0.6685, 0.6685, 0.3360], [0.0000, 0.0000, 0.5000], [0.3309, 0.3309, 0.1698], [0.6691, 0.6691, 0.8302], [0.1631, 0.1631, 0.0785], [0.1649, 0.1649, 0.5832], [0.4992, 0.4992, 0.2439], [0.5008, 0.5008, 0.7561], [0.8351, 0.8351, 0.4168], [0.8369, 0.8369, 0.9215]],
  "magnetic_moment_mub_per_fu": 0.00,
  "energy_ev_per_atom": -5.28,
  "e_form_raw_ev_per_atom": -1.5237
}

[3]
{
  "formula": "CaLa4Pr3Te8",
  "functional": "PBE",
  "state": "optimized geometry",
  "lattice_angstrom": [[4.5625, 2.6341, 7.4159], [-4.5625, 2.6341, 7.4159], [0.0000, -5.2683, 7.4159]],
  "species": ["Ca", "La", "La", "La", "La", "Pr", "Pr", "Pr", "Te", "Te", "Te", "Te", "Te", "Te", "Te", "Te"],
  "frac_coords": [[0.0000, 0.0000, 0.0000], [0.0000, 0.0000, 0.5000], [0.0000, 0.5000, 0.0000], [0.5000, 0.0000, 0.0000], [0.5000, 0.5000, 0.5000], [0.0000, 0.5000, 0.5000], [0.5000, 0.0000, 0.5000], [0.5000, 0.5000, 0.0000], [0.2459, 0.2459, 0.7526], [0.2459, 0.7526, 0.2459], [0.2474, 0.7541, 0.7541], [0.2506, 0.2506, 0.2506], [0.7494, 0.7494, 0.7494], [0.7526, 0.2459, 0.2459], [0.7541, 0.2474, 0.7541], [0.7541, 0.7541, 0.2474]],
  "magnetic_moment_mub_per_fu": 0.00,
  "energy_ev_per_atom": -5.36,
  "e_form_raw_ev_per_atom": -1.5344
}